This record from the Alexandria database describes Ba3SmHf2O9 after structural relaxation. The functional is PBE.

The uncorrected formation energy is -3.113 eV per atom.

extended XYZ file:
```
15
Lattice="-0.717 -5.483 2.589 4.470 0.897 -4.061 4.643 2.017 5.557" Properties=species:S:1:pos:R:3 pbc="T T T"
Ba 5.849 0.121 1.876
Ba 0.000 0.000 0.000
Ba 2.547 -2.689 2.209
Sm 2.322 1.009 2.778
Hf 3.484 -0.906 -0.955
Hf 4.912 -1.662 5.040
O 3.355 -2.992 5.213
O 5.480 -2.566 3.283
O 3.695 -0.386 3.982
O 4.701 -2.182 0.103
O 2.917 -0.002 0.802
O 5.042 0.424 -1.128
O -0.358 -2.741 1.295
O 2.235 0.449 -2.030
O 1.877 -2.293 -0.736
```